# YThTe3

A geometry-optimized YThTe3 structure (GGA-PBE, Alexandria via LeMat-Bulk).

Results
Energy relative to the lowest polymorph listed for this composition, meV per atom: 100
Formation energy without anion corrections, eV/atom: -1.212

abc: 4.432 7.684 11.421
angles: 90.00 101.19 90.00
Sites, in units of the cell vectors:
Y1 0.164 0.491 0.329
Y2 0.836 0.991 0.671
Te1 0.749 0.659 0.499
Te2 0.589 0.334 0.178
Te3 0.085 0.816 0.171
Te4 0.411 0.834 0.822
Te5 0.915 0.316 0.829
Te6 0.251 0.159 0.501
Th1 0.660 0.994 0.321
Th2 0.340 0.494 0.679



# RbCd2AgI6

A geometry-optimized RbCd2AgI6 structure (GGA-PBE, Alexandria via LeMat-Bulk).

Results
Formation energy without anion corrections, eV/atom: -0.685

abc: 8.632 11.027 11.027
angles: 87.36 74.49 74.49
Sites, in units of the cell vectors:
I1 0.181 0.951 0.815
I2 0.819 0.049 0.185
I3 0.555 0.132 0.611
I4 0.538 0.559 0.698
I5 0.962 0.302 0.441
I6 0.462 0.441 0.302
I7 0.445 0.868 0.389
I8 0.319 0.185 0.049
I9 0.038 0.698 0.559
I10 0.945 0.389 0.868
I11 0.681 0.815 0.951
I12 0.055 0.611 0.132
Cd1 0.688 0.236 0.380
Cd2 0.312 0.764 0.620
Cd3 0.812 0.620 0.764
Cd4 0.188 0.380 0.236
Ag1 0.250 0.204 0.796
Ag2 0.750 0.796 0.204
Rb1 0.750 0.137 0.863
Rb2 0.250 0.863 0.137



# CeNdPuGa

A geometry-optimized CeNdPuGa structure (GGA-PBE, Alexandria via LeMat-Bulk).

Results
Energy relative to the elements, eV/atom: -0.058

abc: 5.210 5.210 5.210
angles: 60.00 60.00 60.00
Sites, in units of the cell vectors:
Nd1 0.000 0.000 0.000
Ga1 0.250 0.250 0.250
Pu1 0.500 0.500 0.500
Ce1 0.750 0.750 0.750